VASP calculation (PBE) on crystalline TbPdAu at its relaxed geometry.

```
TbPdAu
1.0
-0.946 0.497 4.467
1.879 -4.696 -1.440
5.308 1.843 0.919
Tb Pd Au
2 2 2
direct
0.193 0.885 0.250 Tb
0.807 0.115 0.750 Tb
0.885 0.269 0.250 Pd
0.115 0.731 0.750 Pd
0.500 0.500 0.000 Au
0.500 0.500 0.500 Au
```

The magnetic moment comes out at 0.000 μB per atom. Its excess energy over the best structure of this formula in the dataset is 17 meV per atom. The space group is Cmcm. For the uncorrected energy, the calculation gives -5.19 eV per atom.

***

VASP calculation (PBE) on crystalline Pm12TlSi6 at its relaxed geometry.

```
Pm12TlSi6
1.0
8.856 0.000 0.000
-2.952 8.349 0.000
-2.952 -4.175 7.231
Pm Tl Si
12 1 6
direct
0.298 0.110 0.812 Pm
0.298 0.486 0.188 Pm
0.702 0.514 0.812 Pm
0.702 0.890 0.188 Pm
0.110 0.812 0.298 Pm
0.486 0.188 0.298 Pm
0.514 0.812 0.702 Pm
0.890 0.188 0.702 Pm
0.812 0.298 0.110 Pm
0.188 0.298 0.486 Pm
0.812 0.702 0.514 Pm
0.188 0.702 0.890 Pm
0.000 0.000 0.000 Tl
0.385 0.500 0.885 Si
0.615 0.500 0.115 Si
0.500 0.885 0.385 Si
0.500 0.115 0.615 Si
0.885 0.385 0.500 Si
0.115 0.615 0.500 Si
```

The magnetic moment comes out at 0.000 μB per atom. For the energy relative to the elements, uncorrected, the calculation gives -530 meV per atom. The space group is Im-3. For the uncorrected energy, the calculation gives -5.37 eV per atom.

***

VASP calculation (PBE) on crystalline Nd3BeIr3 at its relaxed geometry.

```
Nd3BeIr3
1.0
4.095 0.000 0.617
2.026 5.452 0.449
0.064 -0.086 13.473
Nd Be Ir
6 2 6
direct
0.524 0.338 0.614 Nd
0.476 0.662 0.386 Nd
0.252 0.263 0.232 Nd
0.748 0.737 0.768 Nd
0.393 0.292 0.922 Nd
0.607 0.708 0.078 Nd
0.768 0.067 0.396 Be
0.232 0.933 0.604 Be
0.817 0.822 0.544 Ir
0.183 0.178 0.456 Ir
0.119 0.843 0.920 Ir
0.881 0.157 0.080 Ir
0.958 0.842 0.242 Ir
0.042 0.158 0.758 Ir
```

The magnetic moment comes out at 0.000 μB per atom. The space group is C2/m. For the uncorrected energy, the calculation gives -6.96 eV per atom.

***

VASP calculation (PBE) on crystalline La6Pt2RhN at its relaxed geometry.

```
La6Pt2RhN
1.0
6.855 0.000 -0.097
0.000 7.580 0.000
-0.081 0.000 10.439
La Pt Rh N
12 4 2 2
direct
0.307 0.670 0.068 La
0.807 0.830 0.568 La
0.693 0.330 0.932 La
0.193 0.170 0.432 La
0.337 0.696 0.437 La
0.837 0.804 0.937 La
0.663 0.304 0.563 La
0.163 0.196 0.063 La
0.867 0.543 0.238 La
0.367 0.957 0.738 La
0.133 0.457 0.762 La
0.633 0.043 0.262 La
0.050 0.898 0.239 Pt
0.550 0.602 0.739 Pt
0.950 0.102 0.761 Pt
0.450 0.398 0.261 Pt
0.500 0.000 0.000 Rh
0.000 0.500 0.500 Rh
0.500 0.000 0.500 N
0.000 0.500 0.000 N
```

The magnetic moment comes out at 0.000 μB per atom. For the energy relative to the elements, uncorrected, the calculation gives -911 meV per atom. The space group is P2_1/c. For the uncorrected energy, the calculation gives -6.64 eV per atom.

***

VASP calculation (PBE) on crystalline NbPdI2O at its relaxed geometry.

```
NbPdI2O
1.0
5.564 0.000 0.000
0.000 5.564 0.000
0.000 0.000 3.862
I Nb O Pd
2 1 1 1
direct
0.000 0.500 0.000 I
0.500 0.000 0.000 I
0.500 0.500 0.500 Nb
0.000 0.000 0.500 O
0.000 0.000 0.000 Pd
```

The magnetic moment comes out at 0.529 μB per atom. Its excess energy over the best structure of this formula in the dataset is 849 meV per atom. For the energy relative to the elements, uncorrected, the calculation gives 460 meV per atom. The space group is P4/mmm. For the uncorrected energy, the calculation gives -4.20 eV per atom.

***

VASP calculation (PBE) on crystalline PaZn2Ag at its relaxed geometry.

```
PaZn2Ag
1.0
6.034 0.000 0.000
0.000 6.194 0.000
-3.017 -3.097 4.319
Pa Zn Ag
2 4 2
direct
0.152 0.652 0.303 Pa
0.848 0.348 0.697 Pa
0.500 0.304 0.000 Zn
0.500 0.696 0.000 Zn
0.751 0.751 0.502 Zn
0.249 0.249 0.498 Zn
0.228 0.000 0.000 Ag
0.772 0.000 0.000 Ag
```

The magnetic moment comes out at 0.016 μB per atom. Its excess energy over the best structure of this formula in the dataset is 188 meV per atom. The space group is Immm. For the uncorrected energy, the calculation gives -3.56 eV per atom.

***

- Among the records above, which one has the lowest uncorrected energy?
  Nd3BeIr3

***

- What is the uncorrected energy in the second record?
  -5.37 eV per atom

***

- Which value of magnetic moment does entry 6 give?
  0.016 μB per atom